Here is PrWO4F after structural relaxation from the Alexandria database. Energies are from GGA+U.

## Properties
Raw total energy (eV for the cell shown): -211.8

Cell: 9.994 7.681 7.223 Å, 90.00 108.02 90.00°
Space group C2/m (No. 12)
Asymmetric unit:
Pr  0.205  0.000  0.109
W  0.151  0.500  0.278
O  0.037  0.500  0.778
O  0.206  0.316  0.158
O  0.235  0.500  0.537
F  0.013  0.000  0.827